A plane-wave DFT calculation with GGA-PBE was carried out for a relaxed AcMgGa2Pd crystal.

Calculated values
calculated volume: 22.27 Å³ per atom
VASP energy: -20.15 eV/cell
E_form: -0.640 eV per atom

a = 4.3732 Å, b = 4.4527 Å, c = 6.5148 Å
α = 109.98°, β = 109.61°, γ = 90.00°
Positions (direct):
Ac: 0.4462 0.4462 0.8923
Ga: 0.6951 0.1951 0.3902
Ga: 0.0513 0.0513 0.1026
Mg: 0.1939 0.6939 0.3878
Pd: 0.8257 0.8257 0.6514